ScCdSe GGA-PBE optimized geometry; spin magnetization = 0.00 μB per formula unit; total energy = -13.078 eV/f.u.; raw formation energy = -0.782 eV/atom; energy above the lowest structure with this stoichiometry = 0.0 meV/atom; N(E_F) = 0.544 states/eV/atom
1.0
6.651 0.012 -0.013
5.744 3.354 -0.006
0.908 0.240 3.333
Se Cd Sc
1 1 1
direct
0.715 0.715 0.285
0.977 0.977 0.023
0.308 0.308 0.692